[1]
Density functional theory data (GGA-PBEsol) for an optimized crystal structure of PtBrCl2.

Properties
M_tot = 0.0 μB/f.u.
formation energy without anion corrections = 842 meV/atom
density of states at the Fermi level = 5.974 states/eV/f.u.

Unit cell a=6.650 b=6.650 c=6.650 alpha=90.00 beta=90.00 gamma=90.00
Space group Fm-3m (No. 225)
Symmetry-distinct sites (fractional):
Pt 0.000 0.000 0.000 (multiplicity 4)
Br 0.000 0.000 0.500 (multiplicity 4)
Cl 0.250 0.250 0.250 (multiplicity 8)

=====

[2]
Density functional theory data (GGA-PBEsol) for an optimized crystal structure of KLi2Rh.

Properties
M_tot = 0.2 μB/f.u.
formation energy = 281 meV/atom
density of states at the Fermi level = 2.446 states/eV/f.u.

Unit cell a=8.873 b=2.729 c=7.461 alpha=90.00 beta=92.79 gamma=90.00
Space group Cm (No. 8)
Symmetry-distinct sites (fractional):
K 0.000 0.000 0.000 (multiplicity 2)
Li 0.013 0.500 0.596 (multiplicity 2)
Li 0.264 0.500 0.418 (multiplicity 2)
Rh 0.250 0.000 0.703 (multiplicity 2)

=====

> Look up the density of states at the Fermi level of the second one.

2.446 states/eV/f.u.

=====

> Which value of density of states at the Fermi level does entry 2 give?

2.446 states/eV/f.u.